(1)
Here is crystalline NpPaI at its relaxed geometry from Alexandria. Energies are from PBE-GGA.

Unit cell a=3.800 b=3.800 c=12.166 alpha=96.91 beta=96.91 gamma=80.47
Positions (direct):
Np 0.206 0.206 0.425
Np 0.794 0.794 0.575
Pa 0.217 0.217 0.674
Pa 0.783 0.783 0.326
I 0.306 0.306 0.155
I 0.694 0.694 0.845

(2)
Here is crystalline Ac3Ir2Pt4 at its relaxed geometry from Alexandria. Energies are from PBE-GGA.

Unit cell a=4.460 b=4.460 c=25.693 alpha=90.00 beta=90.00 gamma=120.00
Positions (direct):
Ac 0.000 0.000 0.080
Ac 0.000 0.000 0.251
Ac 0.000 0.000 0.415
Ac 0.000 0.000 0.585
Ac 0.000 0.000 0.749
Ac 0.000 0.000 0.920
Ir 0.333 0.667 0.000
Ir 0.667 0.333 0.000
Ir 0.667 0.333 0.333
Ir 0.667 0.333 0.667
Pt 0.333 0.667 0.167
Pt 0.333 0.667 0.333
Pt 0.333 0.667 0.500
Pt 0.333 0.667 0.667
Pt 0.333 0.667 0.833
Pt 0.667 0.333 0.167
Pt 0.667 0.333 0.500
Pt 0.667 0.333 0.833

Uncorrected energy (computed, eV per atom): -8.0927; -6.8984
N(E_F) (computed, states/eV per atom): 1.71; 0.75